## Y2OsO6 (PBE-GGA)

Data for crystalline Y2OsO6 at its relaxed geometry.

Cell: 5.471 5.778 7.857 Å, 90.00 97.42 90.00°
Atoms (fractional coordinates):
Y 0.955 0.413 0.766
Y 0.545 0.913 0.734
Y 0.455 0.087 0.266
Y 0.045 0.587 0.234
Os 0.500 0.500 0.000
Os 0.000 0.000 0.500
O 0.834 0.920 0.278
O 0.857 0.731 0.596
O 0.793 0.674 0.946
O 0.707 0.174 0.554
O 0.643 0.231 0.904
O 0.666 0.420 0.222
O 0.166 0.080 0.722
O 0.143 0.269 0.404
O 0.207 0.326 0.054
O 0.293 0.826 0.446
O 0.357 0.769 0.096
O 0.334 0.580 0.778

## Properties
* total magnetization: 2.00 μB per formula unit
* distance to the lowest polymorph of the same formula: 0 meV per atom